# BaSrSb2Te | Alexandria via LeMat-Bulk | GGA-PBE | relaxed
data_BaSrSb2Te
_space_group_name_H-M_alt 'P 4/m m m'
_space_group_IT_number 123
_space_group_name_Hall '-P 4 2'
_cell_length_a 6.1365
_cell_length_b 6.1365
_cell_length_c 6.3370
_cell_angle_alpha 90.00
_cell_angle_beta 90.00
_cell_angle_gamma 90.00
loop_
_atom_site_label
_atom_site_type_symbol
_atom_site_fract_x
_atom_site_fract_y
_atom_site_fract_z
_atom_site_occupancy
Ba1 Ba 0.0000 0.0000 0.0000 1
Sr1 Sr 0.5000 0.5000 0.5000 1
Sb1 Sb 0.0000 0.5000 0.0000 1
Te1 Te 0.0000 0.0000 0.5000 1
# Energy relative to the elements, uncorrected in kJ per mole of atoms: 2.6
# Polymorph energy (0 for the lowest one) in meV per atom: 311
# Total energy in eV per atom: -2.9711